# 1
{
  "formula": "Sn3Te",
  "functional": "PBE-GGA",
  "state": "relaxed",
  "lattice": [[-3.0502, 2.1559, -3.1213], [-0.2759, -4.1207, -2.5765], [-3.7834, -1.4376, 2.7043]],
  "species": ["Sn", "Sn", "Te", "Sn"],
  "frac_coords": [[0.0000, 0.5000, 0.5000], [0.5000, 0.0000, 0.5000], [0.0000, 0.0000, 0.0000], [0.5000, 0.5000, 0.0000]],
  "magmom_total_mub_per_fu": 0.0,
  "relative_energy_mev_per_atom": 156,
  "formation_energy_uncorrected_mev_per_atom": 79,
  "mass_density_g_cm3": 6.96,
  "sg": "Pm-3m"
}

***

# 2
{
  "formula": "Sn5Te",
  "functional": "PBE-GGA",
  "state": "relaxed",
  "lattice": [[-0.7058, 1.3735, 3.4933], [-5.3105, -0.7703, -0.7702], [3.2948, -7.0938, 3.4548]],
  "species": ["Te", "Sn", "Sn", "Sn", "Sn", "Sn"],
  "frac_coords": [[0.0000, 0.0000, 0.0000], [0.5000, 0.8370, 0.6740], [0.0000, 0.6734, 0.3467], [0.5000, 0.1630, 0.3260], [0.5000, 0.5000, 0.0000], [0.0000, 0.3266, 0.6533]],
  "magmom_total_mub_per_fu": 0.0,
  "formation_energy_uncorrected_mev_per_atom": 38,
  "mass_density_g_cm3": 7.13,
  "sg": "Cmmm"
}

***

# 3
{
  "formula": "ThSn3Te6",
  "functional": "PBE-GGA",
  "state": "relaxed",
  "lattice": [[-2.3850, 0.2353, -3.6372], [-10.3502, -5.3998, 6.4378], [0.0508, 12.7813, 0.7934]],
  "species": ["Te", "Sn", "Sn", "Te", "Te", "Te", "Te", "Th", "Th", "Sn", "Te", "Te", "Te", "Te", "Te", "Sn", "Sn", "Te", "Sn", "Te"],
  "frac_coords": [[0.2500, 0.8979, 0.5248], [0.7500, 0.1684, 0.1197], [0.7500, 0.4579, 0.8458], [0.7500, 0.4685, 0.6119], [0.7500, 0.3803, 0.0604], [0.2500, 0.0654, 0.8942], [0.2500, 0.2362, 0.7496], [0.2500, 0.9574, 0.2995], [0.7500, 0.0426, 0.7005], [0.7500, 0.6961, 0.4492], [0.2500, 0.2060, 0.2897], [0.2500, 0.6197, 0.9396], [0.7500, 0.9346, 0.1058], [0.7500, 0.1021, 0.4752], [0.7500, 0.7638, 0.2504], [0.2500, 0.3039, 0.5508], [0.2500, 0.5421, 0.1542], [0.2500, 0.5315, 0.3881], [0.2500, 0.8316, 0.8803], [0.7500, 0.7940, 0.7103]],
  "magmom_total_mub_per_fu": 0.0,
  "relative_energy_mev_per_atom": 0,
  "formation_energy_uncorrected_mev_per_atom": -503,
  "mass_density_g_cm3": 6.53,
  "sg": "P2_1/m"
}

***

# 4
{
  "formula": "Th5SnTe5",
  "functional": "PBE-GGA",
  "state": "relaxed",
  "lattice": [[-5.6948, 2.6781, 0.2431], [1.8057, -2.9425, -6.8595], [-2.9614, -6.7483, 4.9663]],
  "species": ["Te", "Te", "Te", "Sn", "Te", "Th", "Th", "Th", "Th", "Th", "Te"],
  "frac_coords": [[0.0000, 0.0000, 0.5000], [0.6581, 0.3162, 0.3441], [0.6549, 0.3098, 0.8093], [0.0000, 0.0000, 0.0000], [0.3419, 0.6838, 0.6559], [0.5000, 0.0000, 0.0000], [0.8270, 0.6539, 0.1572], [0.8359, 0.6718, 0.6710], [0.1641, 0.3282, 0.3290], [0.1730, 0.3461, 0.8428], [0.3451, 0.6902, 0.1907]],
  "magmom_total_mub_per_fu": 0.0,
  "formation_energy_uncorrected_mev_per_atom": -1013,
  "mass_density_g_cm3": 8.55,
  "sg": "C2/m"
}

***

# 5
{
  "formula": "Th3SnTe",
  "functional": "PBE-GGA",
  "state": "relaxed",
  "lattice": [[-0.0188, 3.8942, -1.0441], [-8.3601, -4.0081, -7.0138], [-4.5374, 1.2383, 4.7006]],
  "species": ["Th", "Th", "Th", "Te", "Th", "Th", "Th", "Sn", "Te", "Sn"],
  "frac_coords": [[0.2859, 0.0716, 0.7500], [0.7141, 0.9284, 0.2500], [0.9081, 0.3163, 0.5051], [0.6779, 0.8553, 0.7500], [0.9081, 0.3163, 0.9949], [0.0919, 0.6837, 0.4949], [0.0919, 0.6837, 0.0051], [0.4990, 0.4981, 0.2500], [0.3221, 0.1447, 0.2500], [0.5010, 0.5019, 0.7500]],
  "magmom_total_mub_per_fu": 0.0,
  "formation_energy_uncorrected_mev_per_atom": -547,
  "mass_density_g_cm3": 10.20,
  "sg": "Cmcm"
}

***

# 6
{
  "formula": "Th3SnTe2",
  "functional": "PBE-GGA",
  "state": "relaxed",
  "lattice": [[-3.1345, -7.1777, -0.3326], [5.6001, -1.2898, 5.1922], [-6.2821, 4.0452, 2.0385]],
  "species": ["Te", "Sn", "Te", "Sn", "Th", "Th", "Th", "Te", "Te", "Th", "Th", "Th"],
  "frac_coords": [[0.2500, 0.9179, 0.0821], [0.2500, 0.5858, 0.4142], [0.7500, 0.7527, 0.2473], [0.7500, 0.4142, 0.5858], [0.5041, 0.3397, 0.1757], [0.0041, 0.1757, 0.3397], [0.0000, 0.5000, 0.0000], [0.2500, 0.2473, 0.7527], [0.7500, 0.0821, 0.9179], [0.5000, 0.0000, 0.5000], [0.9959, 0.8243, 0.6603], [0.4959, 0.6603, 0.8243]],
  "magmom_total_mub_per_fu": 0.0,
  "relative_energy_mev_per_atom": 0,
  "formation_energy_uncorrected_mev_per_atom": -876,
  "mass_density_g_cm3": 9.22,
  "sg": "C2/c"
}

***

# 7
{
  "formula": "ThSnTe2",
  "functional": "PBE-GGA",
  "state": "relaxed",
  "lattice": [[-2.2800, -2.4616, 2.4792], [-2.6338, -2.7735, -1.6659], [5.8715, -8.8106, 0.1618]],
  "species": ["Sn", "Te", "Th", "Te"],
  "frac_coords": [[0.0000, 0.0000, 0.0000], [0.1013, 0.1013, 0.6960], [0.5000, 0.5000, 0.5000], [0.8987, 0.8987, 0.3040]],
  "magmom_total_mub_per_fu": 0.0,
  "formation_energy_uncorrected_mev_per_atom": -570,
  "mass_density_g_cm3": 6.47,
  "sg": "R-3m"
}

***

# 8
{
  "formula": "Th6SnTe5",
  "functional": "PBE-GGA",
  "state": "relaxed",
  "lattice": [[7.6467, 0.2344, 1.1877], [1.8645, 6.4976, 3.7854], [0.1137, 0.0451, 7.7948]],
  "species": ["Th", "Th", "Th", "Th", "Te", "Te", "Th", "Te", "Te", "Th", "Sn", "Te"],
  "frac_coords": [[0.2489, 0.5859, 0.3312], [0.2489, 0.9171, 0.6688], [0.2487, 0.2483, 0.0000], [0.7513, 0.7517, 0.0000], [0.5000, 0.1661, 0.6678], [0.5000, 0.8339, 0.3322], [0.7511, 0.4141, 0.6688], [0.0000, 0.3332, 0.3336], [0.0000, 0.6668, 0.6664], [0.7511, 0.0829, 0.3312], [0.0000, 0.0000, 0.0000], [0.5000, 0.5000, 0.0000]],
  "magmom_total_mub_per_fu": 0.0,
  "formation_energy_uncorrected_mev_per_atom": -948,
  "mass_density_g_cm3": 9.34,
  "sg": "C2/m"
}

***

# 9
{
  "formula": "Th5SnTe4",
  "functional": "PBE-GGA",
  "state": "relaxed",
  "lattice": [[3.8319, 0.0000, 0.0000], [0.0000, 3.8319, 0.0000], [0.0000, 0.0000, 19.5763]],
  "species": ["Th", "Th", "Te", "Te", "Te", "Th", "Te", "Th", "Th", "Sn"],
  "frac_coords": [[0.5000, 0.5000, 0.1011], [0.5000, 0.5000, 0.8989], [0.0000, 0.0000, 0.5986], [0.0000, 0.0000, 0.7956], [0.0000, 0.0000, 0.2044], [0.5000, 0.5000, 0.5000], [0.0000, 0.0000, 0.4014], [0.5000, 0.5000, 0.3020], [0.5000, 0.5000, 0.6980], [0.0000, 0.0000, 0.0000]],
  "magmom_total_mub_per_fu": 0.0,
  "formation_energy_uncorrected_mev_per_atom": -960,
  "mass_density_g_cm3": 10.34,
  "sg": "P4/mmm"
}

***

# 10
{
  "formula": "ThSn3Te6",
  "functional": "PBE-GGA",
  "state": "relaxed",
  "lattice": [[-3.5410, 2.1943, 1.4158], [-4.9046, -11.1674, 5.0410], [6.7643, 4.8800, 9.3548]],
  "species": ["Te", "Te", "Sn", "Te", "Sn", "Te", "Te", "Th", "Te", "Te", "Te", "Th", "Te", "Sn", "Te", "Sn", "Sn", "Te", "Te", "Sn"],
  "frac_coords": [[0.2500, 0.4339, 0.1208], [0.2500, 0.2131, 0.7358], [0.7500, 0.3486, 0.9608], [0.2500, 0.7507, 0.6896], [0.2500, 0.4002, 0.3562], [0.2500, 0.0414, 0.3850], [0.7500, 0.7869, 0.2642], [0.7500, 0.1771, 0.5411], [0.7500, 0.2493, 0.3104], [0.7500, 0.1259, 0.9933], [0.2500, 0.3679, 0.5980], [0.2500, 0.8229, 0.4589], [0.7500, 0.9586, 0.6150], [0.2500, 0.6514, 0.0392], [0.2500, 0.8741, 0.0067], [0.7500, 0.9849, 0.1561], [0.2500, 0.0151, 0.8439], [0.7500, 0.5661, 0.8792], [0.7500, 0.6321, 0.4020], [0.7500, 0.5998, 0.6438]],
  "magmom_total_mub_per_fu": 0.0,
  "relative_energy_mev_per_atom": 3,
  "formation_energy_uncorrected_mev_per_atom": -499,
  "mass_density_g_cm3": 6.37,
  "sg": "P2_1/m"
}

***

# 11
{
  "formula": "ThSnTe4",
  "functional": "PBE-GGA",
  "state": "relaxed",
  "lattice": [[4.5316, 0.0000, 0.0000], [0.0002, 7.2492, -0.0871], [0.0001, -0.0748, 7.2493]],
  "species": ["Th", "Te", "Te", "Te", "Te", "Sn"],
  "frac_coords": [[0.0000, 0.5000, 0.5000], [0.0000, 0.8083, 0.8083], [0.5000, 0.2969, 0.7032], [0.5000, 0.7031, 0.2968], [0.0000, 0.1917, 0.1917], [0.5000, 0.0000, 0.0000]],
  "magmom_total_mub_per_fu": 0.0,
  "formation_energy_uncorrected_mev_per_atom": -471,
  "mass_density_g_cm3": 6.01,
  "sg": "Cmmm"
}

***

# 12
{
  "formula": "ThSnTe2",
  "functional": "PBE-GGA",
  "state": "relaxed",
  "lattice": [[-1.5786, 1.4046, 3.3246], [-1.5649, -3.5362, 0.7510], [6.2627, -1.9638, 3.8034]],
  "species": ["Th", "Te", "Te", "Sn"],
  "frac_coords": [[0.5000, 0.5000, 0.0000], [0.0000, 0.0000, 0.7690], [0.0000, 0.0000, 0.2310], [0.5000, 0.5000, 0.5000]],
  "magmom_total_mub_per_fu": 0.0,
  "formation_energy_uncorrected_mev_per_atom": -711,
  "mass_density_g_cm3": 8.55,
  "sg": "P4/mmm"
}

***

# 13
{
  "formula": "Th4SnTe3",
  "functional": "PBE-GGA",
  "state": "relaxed",
  "lattice": [[-0.8154, -3.3616, -1.6305], [2.5233, 0.7353, -2.7778], [11.3363, -6.8635, 8.4809]],
  "species": ["Te", "Te", "Th", "Te", "Th", "Th", "Sn", "Th"],
  "frac_coords": [[0.5000, 0.5000, 0.2550], [0.5000, 0.5000, 0.5000], [0.0000, 0.0000, 0.8740], [0.5000, 0.5000, 0.7450], [0.0000, 0.0000, 0.6233], [0.0000, 0.0000, 0.3767], [0.5000, 0.5000, 0.0000], [0.0000, 0.0000, 0.1260]],
  "magmom_total_mub_per_fu": 0.0,
  "formation_energy_uncorrected_mev_per_atom": -928,
  "mass_density_g_cm3": 10.32,
  "sg": "P4/mmm"
}

***

# 14
{
  "formula": "Th4SnTe2",
  "functional": "PBE-GGA",
  "state": "relaxed",
  "lattice": [[4.4431, 0.0000, 0.0000], [-2.2216, 5.8164, 0.0000], [0.0000, 0.0000, 17.1818]],
  "species": ["Th", "Sn", "Th", "Th", "Th", "Sn", "Te", "Te", "Th", "Te", "Th", "Th", "Th", "Te"],
  "frac_coords": [[0.5000, 0.0000, 0.0000], [0.5597, 0.1193, 0.7500], [0.1574, 0.3148, 0.6267], [0.1512, 0.3025, 0.2500], [0.5000, 0.0000, 0.5000], [0.4403, 0.8807, 0.2500], [0.8386, 0.6773, 0.9311], [0.8386, 0.6773, 0.5689], [0.1574, 0.3148, 0.8733], [0.1614, 0.3227, 0.0689], [0.8426, 0.6852, 0.1267], [0.8488, 0.6975, 0.7500], [0.8426, 0.6852, 0.3733], [0.1614, 0.3227, 0.4311]],
  "magmom_total_mub_per_fu": 0.0,
  "formation_energy_uncorrected_mev_per_atom": -610,
  "mass_density_g_cm3": 9.74,
  "sg": "Cmcm"
}

***

# 15
{
  "formula": "Th3SnTe2",
  "functional": "PBE-GGA",
  "state": "relaxed",
  "lattice": [[4.4305, 0.0000, -1.3411], [-0.7863, 5.7381, -2.5977], [-0.1061, -0.0674, 7.6385]],
  "species": ["Te", "Sn", "Th", "Th", "Th", "Te"],
  "frac_coords": [[0.8329, 0.8329, 0.1659], [0.5000, 0.5000, 0.5000], [0.5000, 0.0000, 0.5000], [0.8362, 0.3362, 0.1724], [0.1638, 0.6638, 0.8276], [0.1671, 0.1671, 0.8341]],
  "magmom_total_mub_per_fu": 0.0,
  "relative_energy_mev_per_atom": 3,
  "formation_energy_uncorrected_mev_per_atom": -872,
  "mass_density_g_cm3": 9.23,
  "sg": "Immm"
}

***

# 16
{
  "formula": "Th6SnTe12",
  "functional": "PBE-GGA",
  "state": "relaxed",
  "lattice": [[8.8637, 0.2579, -1.9474], [-2.4737, 8.5154, -1.9474], [0.1879, 0.2579, 9.0732]],
  "species": ["Th", "Te", "Sn", "Th", "Te", "Th", "Th", "Te", "Te", "Te", "Te", "Th", "Te", "Te", "Te", "Te", "Th", "Te", "Te"],
  "frac_coords": [[0.1373, 0.3074, 0.6347], [0.4396, 0.5797, 0.8293], [0.0000, 0.0000, 0.0000], [0.6926, 0.3653, 0.8627], [0.1707, 0.5604, 0.4203], [0.3653, 0.8627, 0.6926], [0.8627, 0.6926, 0.3653], [0.9435, 0.6726, 0.0464], [0.0565, 0.3274, 0.9536], [0.5797, 0.8293, 0.4396], [0.3274, 0.9536, 0.0565], [0.3074, 0.6347, 0.1373], [0.4203, 0.1707, 0.5604], [0.9536, 0.0565, 0.3274], [0.0464, 0.9435, 0.6726], [0.5604, 0.4203, 0.1707], [0.6347, 0.1373, 0.3074], [0.6726, 0.0464, 0.9435], [0.8293, 0.4396, 0.5797]],
  "magmom_total_mub_per_fu": 0.0,
  "formation_energy_uncorrected_mev_per_atom": -1014,
  "mass_density_g_cm3": 7.22,
  "sg": "R-3"
}

***

# 17
{
  "formula": "Th2Sn2Te7",
  "functional": "PBE-GGA",
  "state": "relaxed",
  "lattice": [[-2.6740, -3.3914, -1.3543], [6.4143, -5.8089, -5.6818], [4.5369, -8.2873, 4.2316]],
  "species": ["Th", "Sn", "Th", "Te", "Sn", "Te", "Te", "Te", "Te", "Te", "Te"],
  "frac_coords": [[0.5000, 0.3299, 0.6701], [0.3217, 0.2422, 0.1145], [0.0000, 0.7980, 0.2020], [0.1813, 0.6873, 0.9502], [0.6783, 0.8855, 0.7578], [0.5000, 0.0165, 0.9835], [0.8778, 0.4200, 0.8244], [0.1222, 0.1756, 0.5800], [0.5818, 0.5428, 0.2937], [0.4182, 0.7063, 0.4572], [0.8187, 0.0498, 0.3127]],
  "magmom_total_mub_per_fu": 0.0,
  "formation_energy_uncorrected_mev_per_atom": -665,
  "mass_density_g_cm3": 6.50,
  "sg": "Imm2"
}

***

# 18
{
  "formula": "Th2Tl3SnTe6",
  "functional": "PBE-GGA",
  "state": "relaxed",
  "lattice": [[7.8823, 0.0039, 0.0023], [-3.9359, 6.8293, 0.0023], [-1.3136, -2.2746, 8.2270]],
  "species": ["Tl", "Te", "Te", "Te", "Tl", "Tl", "Te", "Th", "Te", "Te", "Th", "Sn"],
  "frac_coords": [[0.5000, 0.5000, 0.5000], [0.7328, 0.7328, 0.2157], [0.4127, 0.0731, 0.2193], [0.0731, 0.4127, 0.2193], [0.8360, 0.1640, 0.5000], [0.1640, 0.8360, 0.5000], [0.9269, 0.5873, 0.7807], [0.6671, 0.3329, 0.0000], [0.5873, 0.9269, 0.7807], [0.2672, 0.2672, 0.7843], [0.3329, 0.6671, 0.0000], [0.0000, 0.0000, 0.0000]],
  "magmom_total_mub_per_fu": 0.0,
  "formation_energy_uncorrected_mev_per_atom": -716,
  "mass_density_g_cm3": 7.35,
  "sg": "C2/m"
}

***

# 19
{
  "formula": "ThTl2SnTe4",
  "functional": "PBE-GGA",
  "state": "relaxed",
  "lattice": [[4.5928, 0.0000, 0.0000], [0.0000, 8.0043, 0.1787], [0.0000, -2.7657, 7.9675]],
  "species": ["Te", "Te", "Tl", "Te", "Te", "Tl", "Sn", "Th"],
  "frac_coords": [[0.0000, 0.2658, 0.7828], [0.0000, 0.7342, 0.2172], [0.0000, 0.5000, 0.5000], [0.5000, 0.7524, 0.7827], [0.5000, 0.2476, 0.2173], [0.5000, 0.0000, 0.5000], [0.0000, 0.0000, 0.0000], [0.5000, 0.5000, 0.0000]],
  "magmom_total_mub_per_fu": 0.0,
  "formation_energy_uncorrected_mev_per_atom": -674,
  "mass_density_g_cm3": 7.14,
  "sg": "P2/m"
}

***

# 20
{
  "formula": "YThSnTe",
  "functional": "PBE-GGA",
  "state": "relaxed",
  "lattice": [[4.4837, 0.0000, 0.0000], [2.2418, 3.8830, 0.0000], [2.2418, 1.2943, 7.1938]],
  "species": ["Th", "Sn", "Te", "Y"],
  "frac_coords": [[0.9482, 0.9482, 0.1555], [0.6969, 0.6969, 0.9092], [0.1911, 0.1911, 0.4268], [0.4403, 0.4403, 0.6792]],
  "magmom_total_mub_per_fu": 0.0,
  "formation_energy_uncorrected_mev_per_atom": -934,
  "mass_density_g_cm3": 7.52,
  "sg": "R3m"
}

***

# 21
{
  "formula": "Ti4SnTe5",
  "functional": "PBE-GGA",
  "state": "relaxed",
  "lattice": [[-1.7233, 2.4688, -2.3742], [4.7717, -2.4214, -5.9814], [-5.6533, -6.6214, 0.3144]],
  "species": ["Te", "Te", "Ti", "Te", "Ti", "Sn", "Te", "Ti", "Te", "Ti"],
  "frac_coords": [[0.1657, 0.3255, 0.3315], [0.8327, 0.1840, 0.6655], [0.0021, 0.2488, 0.0041], [0.1673, 0.8160, 0.3345], [0.9979, 0.7512, 0.9959], [0.5000, 0.0000, 0.0000], [0.8343, 0.6745, 0.6685], [0.6693, 0.0736, 0.3386], [0.5000, 0.5000, 0.0000], [0.3307, 0.9264, 0.6614]],
  "magmom_total_mub_per_fu": 0.0,
  "formation_energy_uncorrected_mev_per_atom": -522,
  "mass_density_g_cm3": 6.13,
  "sg": "C2/m"
}

***

# 22
{
  "formula": "Ti4SnTe8",
  "functional": "PBE-GGA",
  "state": "relaxed",
  "lattice": [[6.9535, 0.0000, 3.1711], [2.7537, 6.3850, 3.1711], [0.1164, 0.0766, 8.9541]],
  "species": ["Te", "Ti", "Ti", "Te", "Te", "Te", "Ti", "Sn", "Te", "Te", "Ti", "Te", "Te"],
  "frac_coords": [[0.2603, 0.2603, 0.2190], [0.0000, 0.0000, 0.0000], [0.5000, 0.5000, 0.0000], [0.7608, 0.7608, 0.2203], [0.7419, 0.2392, 0.7797], [0.2392, 0.7419, 0.7797], [0.5000, 0.0000, 0.0000], [0.5000, 0.5000, 0.5000], [0.2581, 0.7608, 0.2203], [0.7397, 0.7397, 0.7810], [0.0000, 0.5000, 0.0000], [0.7608, 0.2581, 0.2203], [0.2392, 0.2392, 0.7797]],
  "magmom_total_mub_per_fu": 0.0,
  "relative_energy_mev_per_atom": 0,
  "formation_energy_uncorrected_mev_per_atom": -601,
  "mass_density_g_cm3": 5.61,
  "sg": "R-3m"
}